Record 1
# La2HfSe5 | OQMD via LeMat-Bulk | PBE-GGA | relaxed
# V = 24.87 Å³ per atom
# total moment = 0.010 μB per cell
# VASP energy = -6.442 eV per atom
data_La2HfSe5
_cell_length_a 12.009
_cell_length_b 8.557
_cell_length_c 7.745
_cell_angle_alpha 90.00
_cell_angle_beta 90.00
_cell_angle_gamma 90.00
_symmetry_space_group_name_H-M 'P 1'
_symmetry_Int_Tables_number 1
loop_
_symmetry_equiv_pos_as_xyz
'x,y,z'
loop_
_atom_site_label
_atom_site_fract_x
_atom_site_fract_y
_atom_site_fract_z
_atom_site_occupancy
La1 0.172 0.000 0.058 1
La2 0.172 0.500 0.058 1
La3 0.328 0.000 0.558 1
La4 0.328 0.500 0.558 1
La5 0.672 0.000 0.442 1
La6 0.672 0.500 0.442 1
La7 0.828 0.000 0.942 1
La8 0.828 0.500 0.942 1
Hf1 0.009 0.250 0.575 1
Hf2 0.491 0.750 0.075 1
Hf3 0.509 0.250 0.925 1
Hf4 0.991 0.750 0.425 1
Se1 0.006 0.250 0.942 1
Se2 0.073 0.536 0.677 1
Se3 0.073 0.964 0.677 1
Se4 0.190 0.250 0.358 1
Se5 0.208 0.750 0.340 1
Se6 0.292 0.250 0.840 1
Se7 0.310 0.750 0.858 1
Se8 0.427 0.036 0.177 1
Se9 0.427 0.464 0.177 1
Se10 0.494 0.750 0.442 1
Se11 0.506 0.250 0.558 1
Se12 0.573 0.536 0.823 1
Se13 0.573 0.964 0.823 1
Se14 0.690 0.250 0.142 1
Se15 0.708 0.750 0.160 1
Se16 0.792 0.250 0.660 1
Se17 0.810 0.750 0.642 1
Se18 0.927 0.036 0.323 1
Se19 0.927 0.464 0.323 1
Se20 0.994 0.750 0.058 1


Record 2
# NaCuOsSeS2 | OQMD via LeMat-Bulk | PBE-GGA | relaxed
# V = 19.10 Å³ per atom
# total moment = 0.030 μB per cell
# VASP energy = -4.939 eV per atom
data_NaCuOsSeS2
_cell_length_a 7.018
_cell_length_b 7.018
_cell_length_c 9.341
_cell_angle_alpha 90.00
_cell_angle_beta 90.00
_cell_angle_gamma 150.12
_symmetry_space_group_name_H-M 'P 1'
_symmetry_Int_Tables_number 1
loop_
_symmetry_equiv_pos_as_xyz
'x,y,z'
loop_
_atom_site_label
_atom_site_fract_x
_atom_site_fract_y
_atom_site_fract_z
_atom_site_occupancy
Na1 0.250 0.750 0.750 1
Na2 0.750 0.250 0.250 1
Cu1 0.045 0.955 0.250 1
Cu2 0.955 0.045 0.750 1
Os1 0.500 0.500 0.000 1
Os2 0.500 0.500 0.500 1
Se1 0.417 0.583 0.250 1
Se2 0.583 0.417 0.750 1
S1 0.114 0.886 0.040 1
S2 0.114 0.886 0.460 1
S3 0.886 0.114 0.540 1
S4 0.886 0.114 0.960 1